This record from the Alexandria database describes a relaxed PrGdDyPu crystal. The functional is PBE.

Values from the calculation:
Density of states at the Fermi level   12.7 states/eV/cell
VASP energy   -9.25 eV per atom
Spin magnetization   14.61 μB/cell

Unit cell a=5.6663 b=5.6663 c=5.6663 alpha=60.00 beta=60.00 gamma=60.00
Last column: nearest neighbours and their distance in Å.
Sites, in units of the cell vectors:
Pr  0.0000  0.0000  0.0000  4 Dy 3.47, 4 Pu 3.47
Gd  0.5000  0.5000  0.5000  4 Pu 3.47, 4 Dy 3.47
Dy  0.2500  0.2500  0.2500  4 Gd 3.47, 4 Pr 3.47
Pu  0.7500  0.7500  0.7500  4 Pr 3.47, 4 Gd 3.47